1.
Computed, not measured: an optimized crystal structure of Sr2EuZn at the PBE-GGA level of DFT.

Output
Space group = P4/mmm (123)
E above lowest polymorph = 0 meV/atom
Total DFT energy (no corrections) = -15.2 eV/cell
Total magnetic moment = 7.734 μB per cell
Formation enthalpy at 0 K = -0.28 eV per formula unit
Density of states at the Fermi level = 4.430 states/eV/f.u.
V = 39.66 A^3/atom

extended XYZ file:
```
4
Lattice="-3.586 1.332 0.984 0.335 -1.714 3.542 4.175 8.495 3.717" Properties=species:S:1:pos:R:3 pbc="T T T"
Eu 0.462 4.056 4.121
Sr 3.397 6.912 3.024
Sr 0.778 1.583 0.693
Zn -1.625 -0.191 2.263
```

---

2.
Computed, not measured: an optimized crystal structure of Sr2EuZn at the PBE-GGA level of DFT.

Output
Space group = P4/mmm (123)
E above lowest polymorph = 149 meV/atom
Total DFT energy (no corrections) = -14.6 eV/cell
Total magnetic moment = 7.827 μB per cell
Formation enthalpy at 0 K = 0.32 eV per formula unit
Density of states at the Fermi level = 4.526 states/eV/f.u.
V = 38.56 A^3/atom

extended XYZ file:
```
4
Lattice="-4.249 0.926 -1.762 -2.298 -0.619 5.216 0.797 5.587 1.014" Properties=species:S:1:pos:R:3 pbc="T T T"
Eu -2.124 0.463 -0.881
Sr 0.398 2.793 0.507
Sr -1.149 -0.309 2.608
Zn -2.875 2.947 2.234
```

---

3.
Computed, not measured: an optimized crystal structure of SrEuZn2 at the PBE-GGA level of DFT.

Output
Space group = P4/mmm (123)
Total DFT energy (no corrections) = -15.4 eV/cell
Total magnetic moment = 7.202 μB per cell
Formation enthalpy at 0 K = -0.89 eV per formula unit
Density of states at the Fermi level = 3.418 states/eV/f.u.
V = 28.06 A^3/atom

extended XYZ file:
```
4
Lattice="3.835 0.000 0.000 0.000 3.835 0.000 0.000 0.000 7.630" Properties=species:S:1:pos:R:3 pbc="T T T"
Eu 1.918 1.918 0.000
Sr 1.918 1.918 3.815
Zn 0.000 0.000 5.859
Zn 0.000 0.000 1.771
```

---

4.
Computed, not measured: an optimized crystal structure of Sr2EuZn at the PBE-GGA level of DFT.

Output
Space group = R-3m (166)
E above lowest polymorph = 194 meV/atom
Total DFT energy (no corrections) = -14.4 eV/cell
Total magnetic moment = 8.238 μB per cell
Formation enthalpy at 0 K = 0.50 eV per formula unit
Density of states at the Fermi level = 5.371 states/eV/f.u.
V = 44.51 A^3/atom

extended XYZ file:
```
4
Lattice="4.108 0.000 0.000 2.054 3.557 0.000 2.054 1.186 12.183" Properties=species:S:1:pos:R:3 pbc="T T T"
Eu 0.000 0.000 0.000
Sr 2.054 1.186 8.293
Sr 6.162 3.557 3.890
Zn 4.108 2.372 6.091
```

---

5.
Computed, not measured: an optimized crystal structure of SrEuZn4 at the PBE-GGA level of DFT.

Output
Space group = F-43m (216)
Total DFT energy (no corrections) = -18.2 eV/cell
Total magnetic moment = 7.192 μB per cell
Formation enthalpy at 0 K = -1.19 eV per formula unit
Density of states at the Fermi level = 4.698 states/eV/f.u.
V = 22.25 A^3/atom

extended XYZ file:
```
6
Lattice="5.737 0.000 0.000 2.869 4.968 0.000 2.869 1.656 4.684" Properties=species:S:1:pos:R:3 pbc="T T T"
Eu 0.000 0.000 0.000
Sr 2.869 1.656 1.171
Zn 5.737 3.312 0.574
Zn 5.737 1.645 2.931
Zn 7.180 4.146 2.931
Zn 4.294 4.146 2.931
```

---

6.
Computed, not measured: an optimized crystal structure of SrEu2Zn at the PBE-GGA level of DFT.

Output
Space group = R-3m (166)
E above lowest polymorph = 99 meV/atom
Total DFT energy (no corrections) = -23.6 eV/cell
Total magnetic moment = 15.519 μB per cell
Formation enthalpy at 0 K = -0.07 eV per formula unit
Density of states at the Fermi level = 16.085 states/eV/f.u.
V = 40.01 A^3/atom

extended XYZ file:
```
4
Lattice="4.064 0.000 0.000 2.032 3.520 0.000 2.032 1.173 11.188" Properties=species:S:1:pos:R:3 pbc="T T T"
Eu 6.096 3.520 9.058
Eu 2.032 1.173 2.130
Sr 4.064 2.347 5.594
Zn 0.000 0.000 0.000
```

---

7.
Computed, not measured: an optimized crystal structure of Tb2EuTa at the PBE-GGA level of DFT.

Output
Space group = Fm-3m (225)
Total DFT energy (no corrections) = -29.4 eV/cell
Total magnetic moment = 4.452 μB per cell
Formation enthalpy at 0 K = 1.96 eV per formula unit
Density of states at the Fermi level = 5.924 states/eV/f.u.
V = 27.91 A^3/atom

extended XYZ file:
```
4
Lattice="5.403 0.000 0.000 2.702 4.679 0.000 2.702 1.560 4.415" Properties=species:S:1:pos:R:3 pbc="T T T"
Eu 5.403 3.120 2.208
Tb 2.702 1.560 1.103
Tb 8.105 4.679 3.312
Ta 0.000 0.000 0.000
```

---

8.
Computed, not measured: an optimized crystal structure of EuY2Ta at the PBE-GGA level of DFT.

Output
Space group = R-3m (166)
Total DFT energy (no corrections) = -33.5 eV/cell
Total magnetic moment = 7.545 μB per cell
Formation enthalpy at 0 K = 1.52 eV per formula unit
Density of states at the Fermi level = 5.685 states/eV/f.u.
V = 28.61 A^3/atom

extended XYZ file:
```
4
Lattice="-1.337 -3.110 -0.192 1.250 -2.249 -2.209 7.401 -5.472 7.155" Properties=species:S:1:pos:R:3 pbc="T T T"
Eu 3.657 -5.416 2.377
Y 1.578 -2.584 0.921
Y 5.736 -8.247 3.833
Ta 0.000 0.000 0.000
```

---

Q: Among the records above, which one has the highest total magnetic moment?
A: SrEu2Zn